VASP calculation (PBE) on an optimized crystal structure of Li3FeN2.

Total magnetization   1.85 μB/cell
Formation energy (no corrections)   -0.393 eV per atom

Structure (POSCAR):
```
Li3FeN2
1.0
-2.405 4.763 2.335
2.405 -4.763 2.335
2.405 4.763 -2.335
Li Fe N
6 2 4
direct
0.007 0.250 0.757
0.250 0.250 0.000
0.493 0.250 0.243
0.507 0.750 0.757
0.750 0.750 0.000
0.993 0.750 0.243
0.250 0.750 0.500
0.750 0.250 0.500
0.114 0.720 0.834
0.386 0.220 0.606
0.614 0.780 0.394
0.886 0.280 0.166
```